Entry 1:
Here is a relaxed InTeC crystal from the Alexandria database. Energies are from PBE-GGA.

Summary:
**Total magnetic moment**: 0.00 Bohr magnetons per cell
**Relative energy among the computed polymorphs**: 358 meV per atom
**ΔE_f (raw)**: 0.812 eV per atom
**Calculated density**: 6.43 g cm⁻³

```
9
Lattice="-0.519 1.048 -3.592 2.099 -3.038 0.797 -13.009 -9.197 -0.804" Properties=species:S:1:pos:R:3 pbc="T T T"
In -3.040 -4.692 -0.930
In -8.603 -6.082 -0.532
In -12.585 -9.462 -2.929
C -11.219 -10.475 -1.435
C -7.755 -6.047 -2.630
C -3.773 -2.667 -0.233
Te -9.488 -9.251 -1.328
Te -2.042 -1.443 -0.126
Te -6.024 -4.823 -2.523
```

=====

Entry 2:
Here is a relaxed InTeC crystal from the Alexandria database. Energies are from PBE-GGA.

Summary:
**Total magnetic moment**: 0.00 Bohr magnetons per cell
**Relative energy among the computed polymorphs**: 340 meV per atom
**ΔE_f (raw)**: 0.794 eV per atom
**Calculated density**: 6.16 g cm⁻³

```
12
Lattice="-4.692 4.696 -3.486 0.775 -1.517 -3.086 -3.449 -11.071 4.576" Properties=species:S:1:pos:R:3 pbc="T T T"
Te -2.366 1.187 -3.190
Te -3.984 -7.063 0.458
Te -2.647 -0.769 -0.287
Te -4.478 -3.590 0.641
C -2.490 -8.164 1.374
C -1.153 -1.870 0.630
C -4.559 -1.727 -0.296
C -5.896 -8.021 0.449
In -2.843 -8.725 3.575
In -0.731 -3.948 -0.256
In -7.548 -6.726 1.411
In -5.436 -1.949 -2.420
```

=====

Entry 3:
Here is a relaxed InTeC crystal from the Alexandria database. Energies are from PBE-GGA.

Summary:
**Total magnetic moment**: 0.00 Bohr magnetons per cell
**Relative energy among the computed polymorphs**: 399 meV per atom
**ΔE_f (raw)**: 0.853 eV per atom
**Calculated density**: 6.11 g cm⁻³

```
12
Lattice="8.000 0.000 0.024 0.000 3.667 0.000 -5.381 0.000 9.420" Properties=species:S:1:pos:R:3 pbc="T T T"
In 0.543 0.000 4.926
In 5.843 0.000 2.495
In 3.234 1.833 0.216
In 3.152 1.833 7.205
C 2.483 0.000 8.435
C 1.944 1.833 5.265
C 4.635 0.000 0.555
C 5.174 1.833 3.725
Te -2.204 1.833 5.740
Te 0.338 0.000 8.182
Te 0.487 0.000 1.030
Te 3.029 1.833 3.472
```

=====

Q: What is the formula in the third record?
A: InTeC

=====

Q: Among the records above, which one has the highest ΔE_f (raw)?
A: number 3

=====

Q: Among the records above, which one has the highest ΔE_f (raw)?
A: number 3

=====

Q: Which of these has the lowest relative energy among the computed polymorphs?
A: number 2